Record 1
! ScBeMo3, relaxed, DFT GGA-PBEsol; values from VASP
&SYSTEM
  ibrav = 0, nat = 5, ntyp = 3
/
ATOMIC_SPECIES
Sc 44.96 Sc.upf
Be 9.01 Be.upf
Mo 95.94 Mo.upf
CELL_PARAMETERS angstrom
4.4961 0.0000 0.0000
0.0000 4.4961 0.0000
0.0000 0.0000 4.4961
ATOMIC_POSITIONS angstrom
Sc 0.0000 0.0000 0.0000
Be 2.2481 2.2481 2.2481
Mo 0.0000 0.0000 2.2481
Mo 0.0000 2.2481 0.0000
Mo 2.2481 0.0000 0.0000
! - SG: Pm-3m (221)
! - Relative energy among the computed polymorphs: 35.93 kcal/mol of atoms

=====

Record 2
! ScBeMo, relaxed, DFT GGA-PBEsol; values from VASP
&SYSTEM
  ibrav = 0, nat = 3, ntyp = 3
/
ATOMIC_SPECIES
Sc 44.96 Sc.upf
Be 9.01 Be.upf
Mo 95.94 Mo.upf
CELL_PARAMETERS angstrom
-1.3602 1.3602 5.9710
1.3602 -1.3602 5.9710
1.3602 1.3602 -5.9710
ATOMIC_POSITIONS angstrom
Sc 0.0000 0.0000 0.0000
Be 0.0000 0.0000 7.9160
Mo 0.0000 0.0000 3.5939
! - SG: I4mm (107)

=====

Going through the records in order, we get energy of formation values of 2.241; 0.160 eV/atom.
Going through the records in order, we get total moment values of 0.0; 0.0 μB/cell.
Going through the records in order, we get energy values of -34.70; -21.89 eV/f.u..